Here is a geometry-optimized NaMnF2 structure from the Alexandria database. Energies are from PBE+U.

POSCAR file:
```
NaMnF2
1.0
1.6760 0.9676 6.4601
-1.6760 0.9676 6.4601
0.0000 -1.9352 6.4601
Na Mn F
1 1 2
Cartesian
0.0000 0.0000 0.0000
0.0000 0.0000 9.6902
0.0000 0.0000 7.7218
0.0000 0.0000 11.6586
```

Computed properties:
Energy: -20.772 eV/cell
Crystal system: trigonal